# 1
The following is a DFT calculation (GGA-PBE) of YBe3 after structural relaxation.

The structure in CIF format:
```
data_YBe3
_chemical_formula_sum 'Y4 Be12'
_symmetry_space_group_name_H-M 'I 4/m m m'
_symmetry_Int_Tables_number 139
_symmetry_space_group_name_Hall '-I 4 2'
_cell_length_a 4.0648
_cell_length_b 4.0648
_cell_length_c 14.3915
_cell_angle_alpha 90.00
_cell_angle_beta 90.00
_cell_angle_gamma 90.00
loop_
_atom_site_label
_atom_site_type_symbol
_atom_site_fract_x
_atom_site_fract_y
_atom_site_fract_z
Y1 Y 0.0000 0.0000 0.1359
Be1 Be 0.0000 0.0000 0.3414
Be2 Be 0.0000 0.5000 0.0000
Be3 Be 0.0000 0.5000 0.2500
```

Polymorph energy (0 for the lowest one) ... 402.8 meV per atom
E_form ... 0.3284 eV per atom


# 2
The following is a DFT calculation (GGA-PBE) of Nd12Er5In2 after structural relaxation.

The structure in CIF format:
```
data_Nd12Er5In2
_chemical_formula_sum 'Nd24 Er10 In4'
_symmetry_space_group_name_H-M 'C 1 2/m 1'
_symmetry_Int_Tables_number 12
_symmetry_space_group_name_Hall '-C 2y'
_cell_length_a 15.5177
_cell_length_b 9.3540
_cell_length_c 8.6516
_cell_angle_alpha 90.00
_cell_angle_beta 93.28
_cell_angle_gamma 90.00
loop_
_atom_site_label
_atom_site_type_symbol
_atom_site_fract_x
_atom_site_fract_y
_atom_site_fract_z
Nd1 Nd 0.0576 0.0000 0.3243
Nd2 Nd 0.0824 0.5000 0.8851
Nd3 Nd 0.1244 0.1953 0.6628
Nd4 Nd 0.1492 0.3144 0.2338
Er1 Er 0.0000 0.5000 0.5000
Er2 Er 0.1880 0.0000 0.0111
Er3 Er 0.2316 0.5000 0.5826
In1 In 0.0000 0.1741 0.0000
```

E_form ... -0.0105 eV per atom


# 3
The following is a DFT calculation (GGA-PBE) of ZrRe2SnC after structural relaxation.

The structure in CIF format:
```
data_ZrRe2SnC
_chemical_formula_sum 'Zr1 Re2 Sn1 C1'
_symmetry_space_group_name_H-M 'P 4/m m m'
_symmetry_Int_Tables_number 123
_symmetry_space_group_name_Hall '-P 4 2'
_cell_length_a 5.0209
_cell_length_b 5.0209
_cell_length_c 3.9743
_cell_angle_alpha 90.00
_cell_angle_beta 90.00
_cell_angle_gamma 90.00
loop_
_atom_site_label
_atom_site_type_symbol
_atom_site_fract_x
_atom_site_fract_y
_atom_site_fract_z
Zr1 Zr 0.0000 0.0000 0.0000
Re1 Re 0.0000 0.5000 0.5000
Sn1 Sn 0.5000 0.5000 0.5000
C1 C 0.5000 0.5000 0.0000
```

E_form ... 2.3548 eV per atom


# 4
The following is a DFT calculation (GGA-PBE) of HfZn2Au3 after structural relaxation.

The structure in CIF format:
```
data_HfZn2Au3
_chemical_formula_sum 'Hf2 Zn4 Au6'
_symmetry_space_group_name_H-M 'P -3 m 1'
_symmetry_Int_Tables_number 164
_symmetry_space_group_name_Hall '-P 3 2"'
_cell_length_a 4.5738
_cell_length_b 4.5738
_cell_length_c 11.5635
_cell_angle_alpha 90.00
_cell_angle_beta 90.00
_cell_angle_gamma 120.00
loop_
_atom_site_label
_atom_site_type_symbol
_atom_site_fract_x
_atom_site_fract_y
_atom_site_fract_z
Hf1 Hf 0.3333 0.6667 0.1715
Zn1 Zn 0.0000 0.0000 0.0000
Zn2 Zn 0.0000 0.0000 0.5000
Zn3 Zn 0.3333 0.6667 0.6713
Au1 Au 0.0000 0.0000 0.2644
Au2 Au 0.3333 0.6667 0.4232
Au3 Au 0.3333 0.6667 0.9253
```

E_form ... -0.3404 eV per atom


# 5
The following is a DFT calculation (GGA-PBE) of Be2AgCl after structural relaxation.

The structure in CIF format:
```
data_Be2AgCl
_chemical_formula_sum 'Be4 Ag2 Cl2'
_symmetry_space_group_name_H-M 'I -4 m 2'
_symmetry_Int_Tables_number 119
_symmetry_space_group_name_Hall 'I -4 -2'
_cell_length_a 3.2957
_cell_length_b 3.2957
_cell_length_c 11.7242
_cell_angle_alpha 90.00
_cell_angle_beta 90.00
_cell_angle_gamma 90.00
loop_
_atom_site_label
_atom_site_type_symbol
_atom_site_fract_x
_atom_site_fract_y
_atom_site_fract_z
Be1 Be 0.0000 0.0000 0.0000
Be2 Be 0.0000 0.5000 0.2500
Ag1 Ag 0.0000 0.0000 0.5000
Cl1 Cl 0.0000 0.5000 0.7500
```

Polymorph energy (0 for the lowest one) ... 467.5 meV per atom
E_form (uncorrected) ... 503 meV per atom


# 6
The following is a DFT calculation (GGA-PBE) of Y4GeO10 after structural relaxation.

The structure in CIF format:
```
data_Y4GeO10
_chemical_formula_sum 'Y4 Ge1 O10'
_symmetry_space_group_name_H-M 'P 1'
_symmetry_Int_Tables_number 1
_symmetry_space_group_name_Hall 'P 1'
_cell_length_a 5.7314
_cell_length_b 6.5486
_cell_length_c 6.8884
_cell_angle_alpha 93.39
_cell_angle_beta 109.66
_cell_angle_gamma 111.21
loop_
_atom_site_label
_atom_site_type_symbol
_atom_site_fract_x
_atom_site_fract_y
_atom_site_fract_z
Y1 Y 0.0000 0.0000 0.0000
Y2 Y 0.0965 0.8879 0.5171
Y3 Y 0.3969 0.6569 0.1061
Y4 Y 0.6884 0.2058 0.4198
Ge1 Ge 0.6589 0.3764 0.9144
O1 O 0.0768 0.5385 0.5537
O2 O 0.1981 0.8042 0.8465
O3 O 0.2825 0.9012 0.2709
O4 O 0.4613 0.2867 0.0772
O5 O 0.4861 0.2054 0.6606
O6 O 0.6665 0.6482 0.9182
O7 O 0.6722 0.5581 0.4005
O8 O 0.8049 0.9798 0.2464
O9 O 0.8998 0.0560 0.6684
O10 O 0.9776 0.3619 0.0325
```

E_form (uncorrected) ... -2456 meV per atom


# 7
The following is a DFT calculation (GGA-PBE) of Fe2OsAu after structural relaxation.

The structure in CIF format:
```
data_Fe2OsAu
_chemical_formula_sum 'Fe6 Os3 Au3'
_symmetry_space_group_name_H-M 'R -3 m'
_symmetry_Int_Tables_number 166
_symmetry_space_group_name_Hall '-R 3 2"'
_cell_length_a 2.7286
_cell_length_b 2.7286
_cell_length_c 26.4457
_cell_angle_alpha 90.00
_cell_angle_beta 90.00
_cell_angle_gamma 120.00
loop_
_atom_site_label
_atom_site_type_symbol
_atom_site_fract_x
_atom_site_fract_y
_atom_site_fract_z
Fe1 Fe 0.0000 0.0000 0.2463
Os1 Os 0.0000 0.0000 0.5000
Au1 Au 0.0000 0.0000 0.0000
```

Polymorph energy (0 for the lowest one) ... 54.1 meV per atom
E_form ... 0.2562 eV per atom


# 8
The following is a DFT calculation (GGA-PBE) of TlVPd6 after structural relaxation.

The structure in CIF format:
```
data_TlVPd6
_chemical_formula_sum 'Tl1 V1 Pd6'
_symmetry_space_group_name_H-M 'P 4/m m m'
_symmetry_Int_Tables_number 123
_symmetry_space_group_name_Hall '-P 4 2'
_cell_length_a 3.9815
_cell_length_b 3.9815
_cell_length_c 8.0101
_cell_angle_alpha 90.00
_cell_angle_beta 90.00
_cell_angle_gamma 90.00
loop_
_atom_site_label
_atom_site_type_symbol
_atom_site_fract_x
_atom_site_fract_y
_atom_site_fract_z
Tl1 Tl 0.0000 0.0000 0.0000
V1 V 0.0000 0.0000 0.5000
Pd1 Pd 0.0000 0.5000 0.2688
Pd2 Pd 0.5000 0.5000 0.0000
Pd3 Pd 0.5000 0.5000 0.5000
```

E_form ... -0.2430 eV per atom


# 9
The following is a DFT calculation (GGA-PBE) of Li2AcH4 after structural relaxation.

The structure in CIF format:
```
data_Li2AcH4
_chemical_formula_sum 'Li4 Ac2 H8'
_symmetry_space_group_name_H-M 'I 4/m m m'
_symmetry_Int_Tables_number 139
_symmetry_space_group_name_Hall '-I 4 2'
_cell_length_a 4.8489
_cell_length_b 4.8489
_cell_length_c 10.8751
_cell_angle_alpha 90.00
_cell_angle_beta 90.00
_cell_angle_gamma 90.00
loop_
_atom_site_label
_atom_site_type_symbol
_atom_site_fract_x
_atom_site_fract_y
_atom_site_fract_z
Li1 Li 0.0000 0.0000 0.1259
Ac1 Ac 0.0000 0.0000 0.5000
H1 H 0.0000 0.0000 0.2815
H2 H 0.0000 0.5000 0.0000
```

DFT total energy ... -3.12 eV per atom


# 10
The following is a DFT calculation (GGA-PBE) of ZrAl2Co after structural relaxation.

The structure in CIF format:
```
data_ZrAl2Co
_chemical_formula_sum 'Zr2 Al4 Co2'
_symmetry_space_group_name_H-M 'I m m m'
_symmetry_Int_Tables_number 71
_symmetry_space_group_name_Hall '-I 2 2'
_cell_length_a 2.9179
_cell_length_b 4.6708
_cell_length_c 9.3903
_cell_angle_alpha 90.00
_cell_angle_beta 90.00
_cell_angle_gamma 90.00
loop_
_atom_site_label
_atom_site_type_symbol
_atom_site_fract_x
_atom_site_fract_y
_atom_site_fract_z
Zr1 Zr 0.0000 0.0000 0.0000
Al1 Al 0.0000 0.5000 0.2167
Co1 Co 0.0000 0.0000 0.5000
```

E_form ... -0.2769 eV per atom


# 11
The following is a DFT calculation (GGA-PBE) of CePuCdPb after structural relaxation.

The structure in CIF format:
```
data_CePuCdPb
_chemical_formula_sum 'Ce4 Pu4 Cd4 Pb4'
_symmetry_space_group_name_H-M 'F -4 3 m'
_symmetry_Int_Tables_number 216
_symmetry_space_group_name_Hall 'F -4 2 3'
_cell_length_a 7.7195
_cell_length_b 7.7195
_cell_length_c 7.7195
_cell_angle_alpha 90.00
_cell_angle_beta 90.00
_cell_angle_gamma 90.00
loop_
_atom_site_label
_atom_site_type_symbol
_atom_site_fract_x
_atom_site_fract_y
_atom_site_fract_z
Ce1 Ce 0.0000 0.0000 0.0000
Pu1 Pu 0.0000 0.0000 0.5000
Cd1 Cd 0.2500 0.2500 0.7500
Pb1 Pb 0.2500 0.2500 0.2500
```

Polymorph energy (0 for the lowest one) ... 51.1 meV per atom
E_form ... -0.1573 eV per atom


# 12
The following is a DFT calculation (GGA-PBE) of Cs2Tl3Cl5 after structural relaxation.

The structure in CIF format:
```
data_Cs2Tl3Cl5
_chemical_formula_sum 'Cs4 Tl6 Cl10'
_symmetry_space_group_name_H-M 'C 1 2/m 1'
_symmetry_Int_Tables_number 12
_symmetry_space_group_name_Hall '-C 2y'
_cell_length_a 16.8201
_cell_length_b 4.6948
_cell_length_c 12.0867
_cell_angle_alpha 90.00
_cell_angle_beta 125.73
_cell_angle_gamma 90.00
loop_
_atom_site_label
_atom_site_type_symbol
_atom_site_fract_x
_atom_site_fract_y
_atom_site_fract_z
Cs1 Cs 0.1702 0.0000 0.2666
Tl1 Tl 0.0000 0.0000 0.5000
Tl2 Tl 0.1133 0.5000 0.8707
Cl1 Cl 0.0000 0.5000 0.0000
Cl2 Cl 0.0936 0.5000 0.4138
Cl3 Cl 0.2025 0.0000 0.8039
```

E_form (uncorrected) ... -1384 meV per atom